VASP calculation (GGA+U) on an optimized crystal structure of SrNiO.

Cell: 4.0853 4.0853 6.7982 Å, 90.00 90.00 90.00°
Closest atoms and distances in Å follow each position.
Fractional positions:
Sr1 0.0000 0.5000 0.7668  1 Ni 2.59, 4 O 2.73
Sr2 0.5000 0.0000 0.2332  1 Ni 2.59, 4 O 2.73
O1 0.0000 0.0000 0.5000  4 Ni 2.18
O2 0.5000 0.5000 0.5000  4 Ni 2.18
Ni1 0.0000 0.5000 0.3864  4 O 2.18
Ni2 0.5000 0.0000 0.6136  4 O 2.18

Summary:
spin magnetization = 1.02 μB/f.u.
E_tot = -11.6 eV/f.u.
space group = No. 129